NaYSe2O6 | PBE | relaxed

## Properties
Offset from the most stable computed form: 0.0000 eV per atom
Formation energy from raw total energies: -1.765 eV/atom

Lattice parameters (Å, degrees): 12.923 8.757 5.470 90.00 90.00 90.00
Positions (direct):
Na: 0.117 0.014 0.000
Na: 0.383 0.514 0.500
Na: 0.617 0.486 0.000
Na: 0.883 0.986 0.500
Y: 0.087 0.674 0.444
Y: 0.413 0.174 0.944
Y: 0.587 0.826 0.444
Y: 0.913 0.326 0.944
Se: 0.080 0.268 0.497
Se: 0.203 0.469 0.950
Se: 0.297 0.969 0.450
Se: 0.420 0.768 0.997
Se: 0.580 0.232 0.497
Se: 0.703 0.031 0.950
Se: 0.797 0.531 0.450
Se: 0.920 0.732 0.997
O: 0.013 0.153 0.697
O: 0.016 0.438 0.583
O: 0.026 0.222 0.220
O: 0.175 0.899 0.398
O: 0.204 0.625 0.758
O: 0.216 0.548 0.240
O: 0.284 0.048 0.740
O: 0.296 0.125 0.258
O: 0.325 0.399 0.898
O: 0.474 0.722 0.720
O: 0.484 0.938 0.083
O: 0.487 0.653 0.197
O: 0.513 0.347 0.697
O: 0.516 0.062 0.583
O: 0.526 0.278 0.220
O: 0.675 0.601 0.398
O: 0.704 0.875 0.758
O: 0.716 0.952 0.240
O: 0.784 0.452 0.740
O: 0.796 0.375 0.258
O: 0.825 0.101 0.898
O: 0.974 0.778 0.720
O: 0.984 0.562 0.083
O: 0.987 0.847 0.197